The following is a DFT calculation (PBE) of a geometry-optimized HgGe2B2 structure.

a b c (Å): 5.585 5.585 5.585
angles (deg): 137.86 137.86 61.12
Element x y z (fractional)
Hg: 0.000 0.000 0.000
Ge: 0.361 0.361 0.000
Ge: 0.639 0.639 0.000
B: 0.250 0.750 0.500
B: 0.750 0.250 0.500

The calculation puts the density at 7.87 g/cm3. The calculation puts the energy relative to the lowest polymorph listed for this composition at 0 meV per atom. For the density of states at the Fermi level, the calculation gives 1.484 states/eV/f.u. As for the energy relative to the elements: 0.9540 eV per atom. The size of the total moment is 0.00 Bohr magnetons per cell. The space group is I4/mmm, No. 139.



The following is a DFT calculation (PBE) of a geometry-optimized LiHg2GeB structure.

a b c (Å): 4.827 4.827 4.604
angles (deg): 90.00 90.00 90.00
Element x y z (fractional)
Li: 0.000 0.000 0.000
Hg: 0.000 0.500 0.000
Hg: 0.500 0.000 0.000
Ge: 0.000 0.000 0.500
B: 0.500 0.500 0.500

The calculation puts the density at 7.61 g/cm3. For the density of states at the Fermi level, the calculation gives 2.581 states/eV/f.u. As for the energy relative to the elements: 1.1213 eV per atom. The size of the total moment is 0.00 Bohr magnetons per cell. The space group is P4/mmm, No. 123.



The following is a DFT calculation (PBE) of a geometry-optimized LiHgGeB2 structure.

a b c (Å): 4.188 4.188 5.951
angles (deg): 90.00 90.00 90.00
Element x y z (fractional)
Li: 0.000 0.000 0.000
Hg: 0.500 0.500 0.500
Ge: 0.500 0.500 0.000
B: 0.000 0.500 0.500
B: 0.500 0.000 0.500

The calculation puts the density at 4.80 g/cm3. For the density of states at the Fermi level, the calculation gives 1.675 states/eV/f.u. As for the energy relative to the elements: 1.5136 eV per atom. The size of the total moment is 0.00 Bohr magnetons per cell. The space group is P4/mmm, No. 123.



The following is a DFT calculation (PBE) of a geometry-optimized NiHgGeB2 structure.

a b c (Å): 4.012 4.012 5.365
angles (deg): 90.00 90.00 90.00
Element x y z (fractional)
Ni: 0.000 0.000 0.000
Hg: 0.500 0.500 0.000
Ge: 0.500 0.500 0.500
B: 0.000 0.500 0.500
B: 0.500 0.000 0.500

The calculation puts the density at 6.80 g/cm3. For the density of states at the Fermi level, the calculation gives 2.651 states/eV/f.u. As for the energy relative to the elements: 1.6382 eV per atom. The size of the total moment is 0.00 Bohr magnetons per cell. The space group is P4/mmm, No. 123.



The following is a DFT calculation (PBE) of a geometry-optimized HgGeB2O6 structure.

a b c (Å): 6.949 6.949 4.909
angles (deg): 104.96 104.96 94.30
Element x y z (fractional)
Hg: 0.134 0.866 0.750
Hg: 0.866 0.134 0.250
Ge: 0.302 0.698 0.250
Ge: 0.698 0.302 0.750
B: 0.175 0.315 0.839
B: 0.315 0.175 0.339
B: 0.685 0.825 0.661
B: 0.825 0.685 0.161
O: 0.055 0.668 0.307
O: 0.176 0.225 0.085
O: 0.225 0.176 0.585
O: 0.288 0.514 0.924
O: 0.332 0.945 0.193
O: 0.486 0.712 0.576
O: 0.514 0.288 0.424
O: 0.668 0.055 0.807
O: 0.712 0.486 0.076
O: 0.775 0.824 0.415
O: 0.824 0.775 0.915
O: 0.945 0.332 0.693

The calculation puts the uncorrected energy at -128.310 eV/cell. The calculation puts the density at 5.94 g/cm3. For the density of states at the Fermi level, the calculation gives 0.000 states/eV/f.u. The size of the total moment is 0.00 Bohr magnetons per cell. The space group is C2/c, No. 15.



The following is a DFT calculation (PBE) of a geometry-optimized HgGeBP2 structure.

a b c (Å): 5.210 5.210 4.058
angles (deg): 90.00 90.00 90.00
Element x y z (fractional)
Hg: 0.000 0.000 0.000
Ge: 0.500 0.500 0.500
B: 0.000 0.000 0.500
P: 0.000 0.500 0.000
P: 0.500 0.000 0.000

The calculation puts the density at 5.22 g/cm3. The calculation puts the energy relative to the lowest polymorph listed for this composition at 767 meV per atom. For the density of states at the Fermi level, the calculation gives 3.817 states/eV/f.u. As for the energy relative to the elements: 1.5413 eV per atom. The size of the total moment is 0.00 Bohr magnetons per cell. The space group is P4/mmm, No. 123.